Record 1
Material: HoCuNi4Sn2
Method: DFT, GGA-PBE
State: optimized geometry

Cell lengths 4.2832, 4.2832, 8.3087 Å; angles 75.06, 75.06, 60.00 degrees
With the nearest neighbours (Å) after each atom.
Positions (direct):
Ho 0.0000 0.0000 0.0000  8 Ni 2.92-3.08
Cu 0.5000 0.5000 0.5000  8 Ni 2.40-2.63
Ni 0.3990 0.3990 0.8031  1 Cu 2.40, 3 Sn 2.55
Ni 0.8706 0.8706 0.3881  3 Cu 2.63, 4 Sn 2.63-2.68, 3 Ni 2.90
Ni 0.1294 0.1294 0.6119  3 Cu 2.63, 4 Sn 2.63-2.68, 3 Ni 2.90
Ni 0.6010 0.6010 0.1969  1 Cu 2.40, 3 Sn 2.55
Sn 0.7581 0.7581 0.7256  7 Ni 2.55-2.68
Sn 0.2419 0.2419 0.2744  7 Ni 2.55-2.68

## Properties
The space group is No. 166. The formation energy comes out at -0.277 eV/atom.

Record 2
Material: TiAl6V
Method: DFT, GGA-PBE
State: optimized geometry

Cell lengths 3.9532, 3.9532, 7.8491 Å; angles 90.00, 90.00, 90.00 degrees
With the nearest neighbours (Å) after each atom.
Positions (direct):
Ti 0.0000 0.0000 0.0000  12 Al 2.80-2.82
Al 0.5000 0.5000 0.0000  4 Ti 2.80, 8 Al 2.82
Al 0.5000 0.5000 0.5000  8 Al 2.75, 4 V 2.80
Al 0.5000 0.0000 0.2558  2 V 2.75, 8 Al 2.75-2.82, 2 Ti 2.82
Al 0.5000 0.0000 0.7442  8 Al 2.75-2.82, 2 V 2.75, 2 Ti 2.82
Al 0.0000 0.5000 0.2558  8 Al 2.75-2.82, 2 V 2.75, 2 Ti 2.82
Al 0.0000 0.5000 0.7442  8 Al 2.75-2.82, 2 V 2.75, 2 Ti 2.82
V 0.0000 0.0000 0.5000  12 Al 2.75-2.80

## Properties
The space group is No. 123. The formation energy comes out at -0.263 eV/atom.

Record 3
Material: ZnSe
Method: DFT, GGA-PBE
State: optimized geometry

Cell lengths 4.1030, 4.1039, 6.2486 Å; angles 90.00, 90.00, 90.00 degrees
With the nearest neighbours (Å) after each atom.
Positions (direct):
Se 0.0000 0.0000 0.1775  4 Zn 2.54
Se 0.5000 0.5000 0.6558  4 Zn 2.54
Zn 0.5000 0.0000 0.4167  4 Se 2.54
Zn 0.0000 0.5000 0.4167  4 Se 2.54

## Properties
Its raw formation energy is -553.5 meV/atom. The space group is No. 129.

Record 4
Material: CrCuPt
Method: DFT, GGA-PBE
State: optimized geometry

Cell lengths 2.7255, 4.2450, 7.7744 Å; angles 90.00, 100.10, 90.00 degrees
With the nearest neighbours (Å) after each atom.
Positions (direct):
Cr 0.6331 0.7500 0.2662  3 Cu 2.57-2.63, 5 Pt 2.65-2.69, 2 Cr 2.73
Cr 0.3669 0.2500 0.7338  3 Cu 2.57-2.63, 5 Pt 2.65-2.69, 2 Cr 2.73
Cu 0.5385 0.2500 0.0771  2 Cu 2.43, 3 Cr 2.57-2.63
Cu 0.4615 0.7500 0.9229  2 Cu 2.43, 3 Cr 2.57-2.63
Pt 0.8065 0.7500 0.6130  5 Cr 2.65-2.69, 2 Pt 2.73, 2 Cu 2.74
Pt 0.1935 0.2500 0.3870  5 Cr 2.65-2.69, 2 Pt 2.73, 2 Cu 2.74

## Properties
The space group is No. 63. For the distance to the lowest polymorph of the same formula, the calculation gives 213.0 meV/atom. The formation energy comes out at 0.191 eV/atom.